1.
VASP calculation (PBE-GGA) on a relaxed Pr2ThAl6 crystal.

Cell lengths 4.3661, 8.1960, 8.1960 Å; angles 54.14, 74.55, 74.55 degrees
Fractional positions:
Al  0.1703  0.5110  0.1484
Al  0.1703  0.1484  0.5110
Al  0.0000  0.1809  0.8191
Al  0.8297  0.4890  0.8516
Al  0.0000  0.8191  0.1809
Al  0.8297  0.8516  0.4890
Th  0.5000  0.5000  0.5000
Pr  0.3661  0.1339  0.1339
Pr  0.6339  0.8661  0.8661

Summary:
Crystal system: orthorhombic
Relative energy among the computed polymorphs in meV/atom: 297
Electronic total energy in eV/atom: -4.545
Space group: Immm, No. 71
Formation enthalpy at 0 K in eV per atom: -0.16

2.
VASP calculation (PBE-GGA) on a relaxed Cd2NiPt8 crystal.

Cell lengths 3.9881, 6.3179, 7.5128 Å; angles 104.65, 105.39, 90.00 degrees
Site moments in Bohr magnetons follow the coordinates.
Fractional positions:
Pt  0.5869  0.4373  0.1737  0.07
Pt  0.8696  0.8276  0.7391  0.07
Pt  0.6751  0.9102  0.3503  0.07
Pt  0.1304  0.1724  0.2609  0.07
Pt  0.4131  0.5627  0.8263  0.07
Pt  0.3249  0.0898  0.6497  0.07
Pt  0.9555  0.2732  0.9109  0.09
Pt  0.0445  0.7268  0.0891  0.09
Ni  0.5000  0.0000  0.0000  0.71
Cd  0.7738  0.3567  0.5475  0.00
Cd  0.2262  0.6433  0.4525  0.00

Summary:
Crystal system: monoclinic
Electronic total energy in eV/atom: -5.205
Space group: C2/m, No. 12
Formation enthalpy at 0 K in eV per atom: -0.12

Question: electronic total energy of number 2 (Cd2NiPt8)?
Answer: -5.205 eV/atom

Question: Which of these has the highest formation enthalpy at 0 K?
Answer: Cd2NiPt8

Question: What is the electronic total energy in the second record?
Answer: -5.205 eV/atom